(1)
DFT (PBE-GGA) results for an optimized crystal structure of AcThCdAg.

Structure (CIF):
```
data_AcThCdAg
_chemical_formula_sum 'Ac4 Th4 Cd4 Ag4'
_symmetry_space_group_name_H-M 'F -4 3 m'
_symmetry_Int_Tables_number 216
_symmetry_space_group_name_Hall 'F -4 2 3'
_cell_length_a 7.7996
_cell_length_b 7.7996
_cell_length_c 7.7996
_cell_angle_alpha 90.00
_cell_angle_beta 90.00
_cell_angle_gamma 90.00
loop_
_atom_site_label
_atom_site_type_symbol
_atom_site_fract_x
_atom_site_fract_y
_atom_site_fract_z
_atom_site_occupancy
Ac1 Ac 0.0000 0.0000 0.0000 1
Th1 Th 0.0000 0.0000 0.5000 1
Cd1 Cd 0.2500 0.2500 0.7500 1
Ag1 Ag 0.2500 0.2500 0.2500 1
```

Computed properties:
Total DFT energy (no corrections) in Ha/atom: -0.1434
Calculated formation energy in kJ per mole of atoms: -7.6

***

(2)
DFT (PBE-GGA) results for an optimized crystal structure of SbSeI.

Structure (CIF):
```
data_SbSeI
_chemical_formula_sum 'Sb2 Se2 I2'
_symmetry_space_group_name_H-M 'P -1'
_symmetry_Int_Tables_number 2
_cell_length_a 4.1990
_cell_length_b 7.3489
_cell_length_c 7.9994
_cell_angle_alpha 102.66
_cell_angle_beta 104.89
_cell_angle_gamma 90.05
loop_
_symmetry_equiv_pos_as_xyz
'x,y,z'
'-x,-y,-z'
loop_
_atom_site_label
_atom_site_type_symbol
_atom_site_fract_x
_atom_site_fract_y
_atom_site_fract_z
_atom_site_occupancy
Sb1 Sb 0.2503 0.2236 0.0003 1
Se1 Se 0.1484 0.8731 0.7931 1
I1 I 0.3804 0.6612 0.2679 1
```

Computed properties:
Total DFT energy (no corrections) in Ha/atom: -0.1241
Uncorrected formation energy in meV per atom: -324

***

(3)
DFT (PBE-GGA) results for an optimized crystal structure of Pr6TlRh2.

Structure (CIF):
```
data_Pr6TlRh2
_chemical_formula_sum 'Pr24 Tl4 Rh8'
_symmetry_space_group_name_H-M 'I m m m'
_symmetry_Int_Tables_number 71
_symmetry_space_group_name_Hall '-I 2 2'
_cell_length_a 9.7133
_cell_length_b 10.1828
_cell_length_c 10.8062
_cell_angle_alpha 90.00
_cell_angle_beta 90.00
_cell_angle_gamma 90.00
loop_
_atom_site_label
_atom_site_type_symbol
_atom_site_fract_x
_atom_site_fract_y
_atom_site_fract_z
_atom_site_occupancy
Pr1 Pr 0.0000 0.2021 0.2333 1
Pr2 Pr 0.1918 0.5000 0.1705 1
Pr3 Pr 0.2065 0.3204 0.5000 1
Tl1 Tl 0.0000 0.0000 0.0000 1
Tl2 Tl 0.0000 0.0000 0.5000 1
Rh1 Rh 0.0000 0.3375 0.0000 1
Rh2 Rh 0.0000 0.5000 0.3669 1
```

Computed properties:
Energy relative to the lowest polymorph listed for this composition in meV/atom: 0
Total DFT energy (no corrections) in Ha/atom: -0.2028
Calculated formation energy in kJ per mole of atoms: -42.1